# 1
The following is a DFT calculation (SCAN) of a PBEsol-optimized structure of BaSr2Ag.

a = 5.852 Å, b = 5.852 Å, c = 5.852 Å
α = 60.00°, β = 60.00°, γ = 60.00°
Sites, in units of the cell vectors:
Sr1 0.250 0.250 0.250
Sr2 0.750 0.750 0.750
Ag1 0.000 0.000 0.000
Ba1 0.500 0.500 0.500

Calculated values
* relative energy among the computed polymorphs: 5.43 kcal/mol of atoms
* magnetic moment: 0.00 μB per formula unit
* final energy: -28.756 eV per atom
* DFT formation energy: 0.11 eV/atom

# 2
The following is a DFT calculation (SCAN) of a PBEsol-optimized structure of Tb4H9.

a = 5.126 Å, b = 5.126 Å, c = 6.306 Å
α = 113.98°, β = 113.98°, γ = 90.00°
Sites, in units of the cell vectors:
H1 0.116 0.116 0.746
H2 0.630 0.630 0.746
H3 0.370 0.370 0.254
H4 0.500 0.500 0.000
H5 0.116 0.630 0.746
H6 0.884 0.884 0.254
H7 0.630 0.116 0.746
H8 0.884 0.370 0.254
H9 0.370 0.884 0.254
Tb1 0.000 0.500 0.000
Tb2 0.500 0.000 0.000
Tb3 0.747 0.747 0.493
Tb4 0.253 0.253 0.507

Calculated values
* magnetic moment: 0.00 μB per formula unit
* final energy: -17.542 eV per atom

# 3
The following is a DFT calculation (SCAN) of a PBEsol-optimized structure of Cu2SiRh.

a = 2.854 Å, b = 4.337 Å, c = 4.337 Å
α = 112.35°, β = 90.00°, γ = 90.00°
Sites, in units of the cell vectors:
Si1 0.500 0.500 0.500
Rh1 0.500 0.000 0.000
Cu1 0.000 0.000 0.500
Cu2 0.000 0.500 0.000

Calculated values
* magnetic moment: 0.00 μB per formula unit
* final energy: -18.684 eV per atom
* formation energy from raw total energies: -137.5 meV/atom

# 4
The following is a DFT calculation (SCAN) of a PBEsol-optimized structure of MnCoSiS2.

a = 4.140 Å, b = 4.510 Å, c = 4.510 Å
α = 90.00°, β = 90.00°, γ = 90.00°
Sites, in units of the cell vectors:
Si1 0.500 0.000 0.000
S1 0.000 0.000 0.500
S2 0.000 0.500 0.000
Co1 0.000 0.000 0.000
Mn1 0.500 0.500 0.500

Calculated values
* magnetic moment: 4.06 μB per formula unit
* final energy: -12.637 eV per atom
* formation energy from raw total energies: 329.2 meV/atom

# 5
The following is a DFT calculation (SCAN) of a PBEsol-optimized structure of ZnCI2.

a = 4.928 Å, b = 4.928 Å, c = 4.928 Å
α = 60.00°, β = 60.00°, γ = 60.00°
Sites, in units of the cell vectors:
I1 0.250 0.250 0.250
I2 0.750 0.750 0.750
Zn1 0.500 0.500 0.500
C1 0.000 0.000 0.000

Calculated values
* magnetic moment: 0.00 μB per formula unit
* final energy: -22.385 eV per atom
* formation energy from raw total energies: 1889.7 meV/atom

# 6
The following is a DFT calculation (SCAN) of a PBEsol-optimized structure of SrCa3.

a = 3.927 Å, b = 6.803 Å, c = 7.587 Å
α = 116.64°, β = 105.00°, γ = 90.00°
Sites, in units of the cell vectors:
Ca1 0.753 0.753 0.507
Ca2 0.500 0.833 0.000
Ca3 0.247 0.246 0.493
Sr1 0.000 0.334 0.000

Calculated values
* relative energy among the computed polymorphs: 0.16 kcal/mol of atoms
* magnetic moment: 0.01 μB per formula unit
* final energy: -12.798 eV per atom
* DFT formation energy: 0.02 eV/atom

# 7
The following is a DFT calculation (SCAN) of a PBEsol-optimized structure of LaFe2Br.

a = 3.861 Å, b = 4.990 Å, c = 4.990 Å
α = 67.38°, β = 67.24°, γ = 67.24°
Sites, in units of the cell vectors:
Fe1 0.685 0.815 0.815
Fe2 0.016 0.984 0.984
La1 0.489 0.511 0.511
Br1 0.311 0.189 0.189

Calculated values
* relative energy among the computed polymorphs: 0.00 kcal/mol of atoms
* magnetic moment: 4.41 μB per formula unit
* final energy: -24.531 eV per atom
* formation energy from raw total energies: 175.1 meV/atom

# 8
The following is a DFT calculation (SCAN) of a PBEsol-optimized structure of In2BiSe4I.

a = 4.090 Å, b = 13.598 Å, c = 16.595 Å
α = 90.00°, β = 90.00°, γ = 90.00°
Sites, in units of the cell vectors:
Bi1 0.750 0.965 0.113
Bi2 0.250 0.035 0.887
Bi3 0.250 0.535 0.613
Bi4 0.750 0.465 0.387
In1 0.250 0.892 0.362
In2 0.250 0.742 0.000
In3 0.750 0.758 0.500
In4 0.250 0.242 0.500
In5 0.750 0.258 0.000
In6 0.250 0.392 0.138
In7 0.750 0.608 0.862
In8 0.750 0.108 0.638
Se1 0.250 0.825 0.145
Se2 0.750 0.277 0.165
Se3 0.750 0.612 0.019
Se4 0.750 0.892 0.959
Se5 0.250 0.223 0.665
Se6 0.250 0.325 0.355
Se7 0.250 0.388 0.981
Se8 0.750 0.112 0.481
Se9 0.750 0.175 0.855
Se10 0.250 0.888 0.519
Se11 0.250 0.108 0.041
Se12 0.750 0.777 0.335
Se13 0.250 0.608 0.459
Se14 0.750 0.392 0.541
Se15 0.750 0.675 0.645
Se16 0.250 0.723 0.835
I1 0.250 0.064 0.276
I2 0.250 0.564 0.224
I3 0.750 0.436 0.776
I4 0.750 0.936 0.724

Calculated values
* magnetic moment: 0.00 μB per formula unit
* final energy: -33.306 eV per atom
* formation energy from raw total energies: -504.6 meV/atom